Below is SnTe2I after structural relaxation, with properties calculated at the PBE level.

Calculated values
energy above the most stable polymorph in this dataset = 153 meV per atom
energy relative to the elements, uncorrected = 0.085 eV per atom

a = 8.2317 Å, b = 8.2317 Å, c = 7.4604 Å
α = 56.52°, β = 56.52°, γ = 90.00°
Element x y z (fractional)
I 0.0000 0.0000 0.0000
I 0.7500 0.2500 0.5000
Te 0.5740 0.1250 0.2500
Te 0.1760 0.6250 0.2500
Te 0.3750 0.4260 0.7500
Te 0.8750 0.8240 0.7500
Sn 0.5000 0.5000 0.0000
Sn 0.2500 0.7500 0.5000